Density functional theory data (PBE) for a geometry-optimized Sr2ReTc structure.

Geometry as POSCAR:
```
Sr2ReTc
1.0
4.191 -0.007 0.044
2.102 3.625 0.044
1.945 1.119 8.736
Tc Sr Re
1 2 1
Cartesian
4.103 2.359 5.357
2.033 1.169 3.132
1.971 1.134 7.811
6.196 3.562 5.671
```

Energy above the lowest structure with this stoichiometry   0 meV per atom
E   -24.9 eV per cell

***

Density functional theory data (PBE) for a geometry-optimized DyYInPb structure.

Geometry as POSCAR:
```
DyYInPb
1.0
-4.197 -2.974 -1.623
-0.992 -4.763 2.329
-4.292 -0.589 3.214
In Dy Pb Y
1 1 1 1
Cartesian
0.000 0.000 0.000
-2.370 -2.081 0.980
-4.740 -4.163 1.960
-7.111 -6.244 2.940
```

Energy above the lowest structure with this stoichiometry   42 meV per atom
E   -19.2 eV per cell

***

Density functional theory data (PBE) for a geometry-optimized LaSm6Tm structure.

Geometry as POSCAR:
```
LaSm6Tm
1.0
-3.511 0.214 -4.719
0.064 -5.450 -2.222
-7.733 -3.383 3.400
Sm La Tm
6 1 1
Cartesian
-8.430 -5.075 0.560
-4.145 -1.138 -1.479
-2.457 -3.813 -0.300
-2.750 -3.543 -4.100
-7.035 -7.480 -2.062
-8.723 -4.805 -3.241
0.000 0.000 0.000
-5.590 -4.309 -1.770
```

Energy above the lowest structure with this stoichiometry   341 meV per atom
E   -34.8 eV per cell

***

Density functional theory data (PBE) for a geometry-optimized Ac2BrF5 structure.

Geometry as POSCAR:
```
Ac2BrF5
1.0
3.980 0.000 1.527
1.618 6.231 1.733
-0.254 0.791 6.615
F Ac Br
5 2 1
Cartesian
2.831 1.205 4.525
3.504 3.161 2.769
1.841 3.862 7.106
2.514 5.818 5.350
0.682 3.511 4.174
1.293 1.872 2.582
4.052 5.151 7.293
0.000 0.000 0.000
```

E   -50.1 eV per cell
Uncorrected formation energy   -3.86 eV/atom